{"formula": "LiLuNiGe", "functional": "PBE", "state": "relaxed", "total_magnetization_mub_per_fu": 0.01, "sg": "F-43m (216)", "de_polymorph_ev_per_atom": 0.212, "lattice_angstrom": [[0.0000, 3.2312, 3.2312], [3.2312, 0.0000, 3.2312], [3.2312, 3.2312, 0.0000]], "species": ["Li", "Lu", "Ni", "Ge"], "fractional_positions": [[0.0000, 0.0000, 0.0000], [0.5000, 0.5000, 0.5000], [0.2500, 0.2500, 0.2500], [0.7500, 0.7500, 0.7500]]}

{"formula": "Y3Cd3AgHg2", "functional": "PBE", "state": "relaxed", "total_magnetization_mub_per_fu": 0.01, "sg": "P-62m (189)", "delta_e_f_ev_per_atom": -0.42, "lattice_angstrom": [[7.9387, 0.0000, 0.0000], [-3.9693, 6.8751, 0.0000], [0.0000, 0.0000, 3.9415]], "species": ["Y", "Y", "Y", "Cd", "Cd", "Cd", "Ag", "Hg", "Hg"], "fractional_positions": [[0.0000, 0.5988, 0.0000], [0.4012, 0.4012, 0.0000], [0.5988, 0.0000, 0.0000], [0.0000, 0.2591, 0.5000], [0.2591, 0.0000, 0.5000], [0.7409, 0.7409, 0.5000], [0.0000, 0.0000, 0.0000], [0.3333, 0.6667, 0.5000], [0.6667, 0.3333, 0.5000]]}

{"formula": "CdCuHgPb", "functional": "PBE", "state": "relaxed", "sg": "F-43m (216)", "de_polymorph_ev_per_atom": 0.007, "lattice_angstrom": [[0.0000, 3.5647, 3.5647], [3.5647, 0.0000, 3.5647], [3.5647, 3.5647, 0.0000]], "species": ["Cd", "Cu", "Hg", "Pb"], "fractional_positions": [[0.0000, 0.0000, 0.0000], [0.7500, 0.7500, 0.7500], [0.2500, 0.2500, 0.2500], [0.5000, 0.5000, 0.5000]]}

{"formula": "RbNaNiW", "functional": "PBE", "state": "relaxed", "total_magnetization_mub_per_fu": 3.99, "sg": "F-43m (216)", "de_polymorph_ev_per_atom": 0.000, "lattice_angstrom": [[0.0000, 3.5692, 3.5692], [3.5692, 0.0000, 3.5692], [3.5692, 3.5692, 0.0000]], "species": ["Rb", "Na", "Ni", "W"], "fractional_positions": [[0.0000, 0.0000, 0.0000], [0.7500, 0.7500, 0.7500], [0.2500, 0.2500, 0.2500], [0.5000, 0.5000, 0.5000]]}

no.,uncorrected energy (eV/cell),theoretical density (g/cm³)
1,-18.055,7.7
2,-29.262,8.6
3,-7.610,10.7
4,-13.948,6.4